No. 1
The following is a DFT calculation (PBE) of a relaxed structure of CeNi12.

Crystal system = tetragonal
Volume = 12.24 Å³/atom
DFT formation energy = -1.54 eV/f.u.
Energy = -0.2173 hartree per atom
Space-group type = I4/mmm

Unit cell a=4.7151 b=6.2683 c=6.2683 alpha=81.87 beta=67.91 gamma=67.91
With the nearest neighbours (Å) after each atom.
Element x y z (fractional)
Ni 0.5000 0.5000 0.0000  10 Ni 2.36-2.52
Ni 0.3536 0.6464 0.6464  9 Ni 2.40-2.59
Ni 0.2755 0.2245 0.2245  10 Ni 2.38-2.61
Ni 0.0000 0.0000 0.5000  10 Ni 2.36-2.52
Ni 0.7245 0.7755 0.7755  10 Ni 2.38-2.61
Ni 0.5000 0.0000 0.5000  10 Ni 2.36-2.52
Ni 0.0000 0.5000 0.0000  10 Ni 2.36-2.52
Ni 0.0000 0.3536 0.6464  9 Ni 2.40-2.59
Ni 0.5000 0.7755 0.2245  10 Ni 2.38-2.61
Ni 0.5000 0.2245 0.7755  10 Ni 2.38-2.61
Ni 0.0000 0.6464 0.3536  9 Ni 2.40-2.59
Ni 0.6464 0.3536 0.3536  9 Ni 2.40-2.59
Ce 0.0000 0.0000 0.0000  20 Ni 2.90-3.13

---

No. 2
The following is a DFT calculation (PBE) of a relaxed structure of CeNpNi17.

Crystal system = trigonal
Volume = 12.56 Å³/atom
DFT formation energy = -2.51 eV/f.u.
Energy = -0.2315 hartree per atom
Space-group type = R3m

Unit cell a=6.2460 b=6.2460 c=6.2460 alpha=82.95 beta=82.95 gamma=82.95
With the nearest neighbours (Å) after each atom.
Element x y z (fractional)
Ni 0.7029 0.2968 0.0007  8 Ni 2.37-2.52
Ni 0.0007 0.2968 0.7029  8 Ni 2.37-2.52
Ni 0.0011 0.4994 0.0011  10 Ni 2.37-2.53
Ni 0.7029 0.0007 0.2968  8 Ni 2.37-2.52
Ni 0.1555 0.6516 0.6516  9 Ni 2.40-2.60
Ni 0.4994 0.0011 0.0011  10 Ni 2.37-2.53
Ni 0.0007 0.7029 0.2968  8 Ni 2.37-2.52
Ni 0.3465 0.3465 0.8463  9 Ni 2.39-2.58
Ni 0.6516 0.6516 0.1555  9 Ni 2.40-2.60
Ni 0.8463 0.3465 0.3465  9 Ni 2.39-2.58
Ni 0.0011 0.0011 0.4994  10 Ni 2.37-2.53
Ni 0.2968 0.7029 0.0007  8 Ni 2.37-2.52
Ni 0.1002 0.1002 0.1002  7 Ni 2.40-2.58
Ni 0.9014 0.9014 0.9014  7 Ni 2.40-2.60
Ni 0.6516 0.1555 0.6516  9 Ni 2.40-2.60
Ni 0.2968 0.0007 0.7029  8 Ni 2.37-2.52
Ni 0.3465 0.8463 0.3465  9 Ni 2.39-2.58
Ce 0.6622 0.6622 0.6622  19 Ni 2.89-3.18
Np 0.3358 0.3358 0.3358  16 Ni 2.85-3.13

---

No. 3
The following is a DFT calculation (PBE) of a relaxed structure of CeNpNi10.

Crystal system = orthorhombic
Volume = 13.61 Å³/atom
DFT formation energy = -2.80 eV/f.u.
Energy = -0.2434 hartree per atom
Space-group type = Pmmm

Unit cell a=3.9736 b=4.8701 c=8.4410 alpha=90.00 beta=90.00 gamma=90.00
With the nearest neighbours (Å) after each atom.
Element x y z (fractional)
Ce 0.0000 0.0000 0.0000  10 Ni 2.82-3.14
Ni 0.0000 0.0000 0.3357  6 Ni 2.42-2.44
Ni 0.5000 0.2529 0.2535  8 Ni 2.41-2.46
Ni 0.5000 0.0000 0.5000  8 Ni 2.42
Ni 0.5000 0.2529 0.7465  8 Ni 2.41-2.46
Ni 0.0000 0.5000 0.8308  6 Ni 2.43-2.45
Ni 0.5000 0.7471 0.7465  8 Ni 2.41-2.46
Ni 0.0000 0.5000 0.1692  6 Ni 2.43-2.45
Ni 0.5000 0.7471 0.2535  8 Ni 2.41-2.46
Ni 0.0000 0.0000 0.6643  6 Ni 2.42-2.44
Ni 0.5000 0.5000 0.0000  8 Ni 2.45
Np 0.0000 0.5000 0.5000  14 Ni 2.79-3.12

---

No. 4
The following is a DFT calculation (PBE) of a relaxed structure of CeNp3Ni8.

Crystal system = trigonal
Volume = 14.92 Å³/atom
DFT formation energy = -2.39 eV/f.u.
Energy = -0.2860 hartree per atom
Space-group type = R3m

Unit cell a=5.0136 b=5.0136 c=8.7214 alpha=73.30 beta=73.30 gamma=60.00
With the nearest neighbours (Å) after each atom.
Element x y z (fractional)
Np 0.3708 0.3708 0.8876  12 Ni 2.86-3.00, 4 Np 3.00-3.07
Np 0.0059 0.0059 0.9822  12 Ni 2.83-3.02, 3 Np 3.00, 1 Ce 3.16
Np 0.4951 0.4951 0.5148  12 Ni 2.88-3.06, 1 Np 3.07, 3 Ce 3.14
Ni 0.9367 0.4381 0.1871  6 Ni 2.50-2.53
Ni 0.6874 0.6874 0.9377  6 Ni 2.51-2.52
Ni 0.9376 0.9376 0.6872  6 Ni 2.51-2.52
Ni 0.9376 0.4376 0.6872  6 Ni 2.51-2.52
Ni 0.4376 0.9376 0.6872  6 Ni 2.51-2.52
Ni 0.4381 0.9367 0.1871  6 Ni 2.50-2.53
Ni 0.4381 0.4381 0.1871  6 Ni 2.50-2.53
Ni 0.1872 0.1872 0.4384  6 Ni 2.51-2.53
Ce 0.8778 0.8778 0.3665  12 Ni 2.91-3.01, 4 Np 3.14-3.16

---

No. 5
The following is a DFT calculation (PBE) of a relaxed structure of Ce2NpNi16.

Crystal system = trigonal
Volume = 13.25 Å³/atom
DFT formation energy = -4.27 eV/f.u.
Energy = -0.2352 hartree per atom
Space-group type = R3m

Unit cell a=6.3593 b=6.3593 c=6.3593 alpha=82.91 beta=82.91 gamma=82.91
With the nearest neighbours (Å) after each atom.
Element x y z (fractional)
Ce 0.6522 0.6522 0.6522  12 Ni 2.88-3.11
Ce 0.3442 0.3442 0.3442  10 Ni 2.77-3.02
Ni 0.3347 0.8369 0.3347  9 Ni 2.43-2.51
Ni 0.6772 0.3170 0.9988  8 Ni 2.44-2.71
Ni 0.6580 0.6580 0.1617  8 Ni 2.43-2.51
Ni 0.4963 0.9952 0.9952  9 Ni 2.43-2.49, 1 Np 2.72
Ni 0.9988 0.6772 0.3170  8 Ni 2.44-2.71
Ni 0.6580 0.1617 0.6580  8 Ni 2.43-2.51
Ni 0.3170 0.6772 0.9988  8 Ni 2.44-2.71
Ni 0.6772 0.9988 0.3170  8 Ni 2.44-2.71
Ni 0.1617 0.6580 0.6580  8 Ni 2.43-2.51
Ni 0.9952 0.4963 0.9952  9 Ni 2.43-2.49, 1 Np 2.72
Ni 0.3170 0.9988 0.6772  8 Ni 2.44-2.71
Ni 0.9988 0.3170 0.6772  8 Ni 2.44-2.71
Ni 0.1187 0.1187 0.1187  1 Np 2.34, 6 Ni 2.49-2.50
Ni 0.9952 0.9952 0.4963  9 Ni 2.43-2.49, 1 Np 2.72
Ni 0.3347 0.3347 0.8369  9 Ni 2.43-2.51
Ni 0.8369 0.3347 0.3347  9 Ni 2.43-2.51
Np 0.9282 0.9282 0.9282  1 Ni 2.34

---

No. 6
The following is a DFT calculation (PBE) of a relaxed structure of Ce2NpNi9.

Crystal system = trigonal
Volume = 14.43 Å³/atom
DFT formation energy = -3.37 eV/f.u.
Energy = -0.2456 hartree per atom
Space-group type = R-3m

Unit cell a=4.9310 b=4.9310 c=8.7031 alpha=73.54 beta=73.54 gamma=60.00
With the nearest neighbours (Å) after each atom.
Element x y z (fractional)
Ni 0.5000 0.5000 0.5000  6 Ni 2.54
Ni 0.5815 0.0816 0.7555  7 Ni 2.45-2.54
Ni 0.6671 0.6671 0.9987  6 Ni 2.45-2.47
Ni 0.4185 0.9184 0.2445  7 Ni 2.45-2.54
Ni 0.5815 0.5815 0.7555  7 Ni 2.45-2.54
Ni 0.0816 0.5815 0.7555  7 Ni 2.45-2.54
Ni 0.3329 0.3329 0.0013  6 Ni 2.45-2.47
Ni 0.9184 0.4185 0.2445  7 Ni 2.45-2.54
Ni 0.4185 0.4185 0.2445  7 Ni 2.45-2.54
Ce 0.1376 0.1376 0.5871  12 Ni 2.83-3.16
Ce 0.8624 0.8624 0.4129  12 Ni 2.83-3.16
Np 0.0000 0.0000 0.0000  18 Ni 2.85-3.18

---

Number 1: density of states at the Fermi level 1.59 states/eV/atom. Number 2: density of states at the Fermi level 1.69 states/eV/atom. Number 3: density of states at the Fermi level 1.65 states/eV/atom. Number 4: density of states at the Fermi level 2.07 states/eV/atom. Number 5: density of states at the Fermi level 1.39 states/eV/atom. Number 6: density of states at the Fermi level 1.66 states/eV/atom.